[1]
First-principles (PBE-GGA) data for an optimized crystal structure of PaTiAg2O6, as listed in the Alexandria database.

Total moment = 0.00 μB per formula unit
ΔE_f (raw) = -2.024 eV per atom
Energy = -73.083 eV per formula unit
SG = P4mm

Cell: 4.205 6.142 6.142 Å, 90.00 90.00 90.00°
Element x y z (fractional)
Pa 0.705 0.500 0.500
O 0.737 0.239 0.239
O 0.737 0.761 0.761
O 0.210 0.500 0.500
O 0.737 0.239 0.761
O 0.258 0.000 0.000
O 0.737 0.761 0.239
Ag 0.834 0.500 0.000
Ag 0.834 0.000 0.500
Ti 0.658 0.000 0.000


[2]
First-principles (PBE-GGA) data for an optimized crystal structure of Ho2GePd8, as listed in the Alexandria database.

Total moment = 0.00 μB per formula unit
ΔH_f (0 K) = -691 meV/atom
Energy = -62.918 eV per formula unit
SG = Immm

Cell: 4.646 5.899 7.963 Å, 111.78 106.96 90.00°
Element x y z (fractional)
Pd 0.367 0.125 0.734
Pd 0.000 0.755 0.000
Pd 0.000 0.245 0.000
Pd 0.367 0.609 0.733
Pd 0.633 0.391 0.267
Pd 0.816 0.817 0.633
Pd 0.633 0.875 0.266
Pd 0.184 0.183 0.367
Ge 0.500 0.000 0.000
Ho 0.812 0.312 0.624
Ho 0.188 0.688 0.376


[3]
First-principles (PBE-GGA) data for an optimized crystal structure of LiCu2Br3, as listed in the Alexandria database.

Total moment = 0.00 μB per formula unit
ΔE_f (raw) = -0.670 eV per atom
Energy = -19.142 eV per formula unit
SG = Imm2

Cell: 4.086 5.761 7.075 Å, 114.03 106.78 90.00°
Element x y z (fractional)
Br 0.330 0.335 0.659
Br 0.000 0.989 0.000
Br 0.670 0.676 0.341
Cu 0.833 0.580 0.666
Cu 0.167 0.914 0.334
Li 0.500 0.249 0.000


[4]
First-principles (PBE-GGA) data for an optimized crystal structure of Pr3Zn2BRu3, as listed in the Alexandria database.

Total moment = 0.00 μB per formula unit
ΔH_f (0 K) = -128 meV/atom
Energy = -52.539 eV per formula unit
SG = P-62m

Cell: 3.534 7.545 7.545 Å, 120.00 90.00 90.00°
Element x y z (fractional)
Ru 0.500 0.215 0.215
Ru 0.500 0.000 0.785
Ru 0.500 0.785 0.000
B 0.000 0.000 0.000
Zn 0.500 0.333 0.667
Zn 0.500 0.667 0.333
Pr 0.000 0.639 0.639
Pr 0.000 0.000 0.361
Pr 0.000 0.361 0.000


[5]
First-principles (PBE-GGA) data for an optimized crystal structure of LiSi2TcRh, as listed in the Alexandria database.

Total moment = 0.06 μB per formula unit
ΔE_f (raw) = 0.728 eV per atom
Energy = -26.839 eV per formula unit
SG = P4/mmm

Cell: 4.230 3.787 4.230 Å, 90.00 90.00 90.00°
Element x y z (fractional)
Si 0.000 0.000 0.500
Si 0.500 0.000 0.000
Rh 0.000 0.500 0.000
Tc 0.500 0.500 0.500
Li 0.000 0.000 0.000


[6]
First-principles (PBE-GGA) data for an optimized crystal structure of Ta2BiRh, as listed in the Alexandria database.

Total moment = 0.00 μB per formula unit
ΔH_f (0 K) = 540 meV/atom
Energy = -32.776 eV per formula unit
SG = I-42d

Cell: 3.975 3.975 10.620 Å, 79.21 79.21 90.00°
Element x y z (fractional)
Ta 0.875 0.874 0.750
Ta 0.624 0.125 0.250
Ta 0.126 0.625 0.250
Ta 0.375 0.376 0.750
Rh 0.500 0.500 0.000
Rh 0.250 0.750 0.500
Bi 0.750 0.250 0.500
Bi 0.000 0.000 0.000


Copy entry 6 word for word.
First-principles (PBE-GGA) data for an optimized crystal structure of Ta2BiRh, as listed in the Alexandria database.

Total moment = 0.00 μB per formula unit
ΔH_f (0 K) = 540 meV/atom
Energy = -32.776 eV per formula unit
SG = I-42d

Cell: 3.975 3.975 10.620 Å, 79.21 79.21 90.00°
Element x y z (fractional)
Ta 0.875 0.874 0.750
Ta 0.624 0.125 0.250
Ta 0.126 0.625 0.250
Ta 0.375 0.376 0.750
Rh 0.500 0.500 0.000
Rh 0.250 0.750 0.500
Bi 0.750 0.250 0.500
Bi 0.000 0.000 0.000


Which of these has the highest total moment?
LiSi2TcRh


What is the formula in the third record?
LiCu2Br3